Here is an optimized crystal structure of InGe3Cl from Alexandria. Energies are from PBE.

Cell and atoms, written as extended XYZ:
```
5
Lattice="-4.657 1.918 0.304 -1.706 -3.664 -3.021 -0.927 -2.892 4.030" Properties=species:S:1:pos:R:3 pbc="T T T"
Ge -0.853 -1.832 -1.511
Ge -0.464 -1.446 2.015
Ge -2.329 0.959 0.152
Cl 0.000 0.000 0.000
In -3.645 -2.319 0.656
```

Values from the calculation:
As for the crystal system: cubic. The energy relative to the lowest polymorph listed for this composition comes out at 0.00 kcal/mol of atoms. The total magnetization comes out at 0.0 μB/f.u. Its space-group type is No. 221. The uncorrected formation energy is 0.6434 eV/atom.

=====

Here is an optimized crystal structure of HoBi2Pd7 from Alexandria. Energies are from PBE.

Cell and atoms, written as extended XYZ:
```
10
Lattice="4.125 0.000 0.000 0.000 8.183 -0.631 0.000 -4.255 7.018" Properties=species:S:1:pos:R:3 pbc="T T T"
Bi 2.063 4.315 1.748
Bi 2.063 -0.387 4.639
Pd 2.063 1.964 3.193
Pd 2.063 1.949 0.414
Pd 2.063 1.979 5.973
Pd 2.063 4.437 4.461
Pd 0.000 -1.828 5.525
Pd 0.000 5.756 0.862
Pd 2.063 -0.509 1.926
Ho 0.000 0.000 0.000
```

Values from the calculation:
As for the crystal system: orthorhombic. For the formation energy from the elements, the calculation gives -188.1 meV/atom. The energy relative to the lowest polymorph listed for this composition comes out at 6.46 kcal/mol of atoms. The total magnetization comes out at 0.0 μB/f.u. Its space-group type is No. 65.

=====

Here is an optimized crystal structure of CaPuTaIr2 from Alexandria. Energies are from PBE.

Cell and atoms, written as extended XYZ:
```
5
Lattice="-0.915 -1.006 4.331 -1.823 -3.948 -1.303 6.282 0.052 -1.039" Properties=species:S:1:pos:R:3 pbc="T T T"
Pu 1.999 -1.716 2.403
Ir 3.747 -1.850 0.362
Ir -0.204 -3.053 1.627
Ca 0.000 0.000 0.000
Ta 1.545 -3.187 -0.414
```

Values from the calculation:
As for the crystal system: tetragonal. For the formation energy from the elements, the calculation gives -322.1 meV/atom. The total magnetization comes out at 4.8 μB/f.u. Its space-group type is No. 119.

=====

Here is an optimized crystal structure of Li2TcNi2 from Alexandria. Energies are from PBE.

Cell and atoms, written as extended XYZ:
```
10
Lattice="-1.526 5.350 -3.916 -6.480 -0.354 2.041 0.521 1.557 1.925" Properties=species:S:1:pos:R:3 pbc="T T T"
Li -3.204 5.139 -1.628
Li -4.282 1.414 1.678
Li -1.308 2.526 -0.027
Li -6.177 4.027 0.077
Tc 0.000 0.000 0.000
Tc -4.003 2.498 -0.937
Ni -5.438 4.399 -2.087
Ni -1.849 3.353 -2.212
Ni -2.568 0.597 0.212
Ni -6.157 1.643 0.337
```

Values from the calculation:
As for the crystal system: tetragonal. For the formation energy from the elements, the calculation gives 289.9 meV/atom. The energy relative to the lowest polymorph listed for this composition comes out at 2.49 kcal/mol of atoms. The total magnetization comes out at 0.0 μB/f.u. Its space-group type is No. 127.

=====

Here is an optimized crystal structure of CeDy2HoSe4 from Alexandria. Energies are from PBE.

Cell and atoms, written as extended XYZ:
```
8
Lattice="4.072 0.000 0.000 0.000 7.109 -0.161 0.000 2.483 6.687" Properties=species:S:1:pos:R:3 pbc="T T T"
Se 0.000 7.222 4.839
Se 2.036 5.980 1.583
Se 2.036 3.612 4.943
Se 4.072 2.370 1.687
Dy 0.000 2.483 6.687
Dy 2.036 1.242 3.343
Ho 0.000 4.796 3.263
Ce 2.036 3.554 -0.081
```

Values from the calculation:
As for the crystal system: monoclinic. The total magnetization comes out at 1.0 μB/f.u. Its space-group type is No. 10. The uncorrected formation energy is -1.7631 eV/atom.

=====

Here is an optimized crystal structure of YHg2As2 from Alexandria. Energies are from PBE.

Cell and atoms, written as extended XYZ:
```
10
Lattice="-2.034 -0.411 6.910 -4.604 -5.298 -1.670 3.510 -3.315 0.836" Properties=species:S:1:pos:R:3 pbc="T T T"
As -1.808 -0.886 4.080
As -4.642 -3.643 5.052
As -1.996 -2.066 0.188
As -4.830 -4.822 1.160
Y -3.319 -2.854 2.620
Y 0.000 0.000 0.000
Hg -1.952 -5.514 0.692
Hg -1.176 -3.509 5.384
Hg -3.322 -6.126 4.018
Hg 0.194 -2.897 2.057
```

Values from the calculation:
As for the crystal system: tetragonal. For the formation energy from the elements, the calculation gives -227.4 meV/atom. The energy relative to the lowest polymorph listed for this composition comes out at 3.61 kcal/mol of atoms. The total magnetization comes out at 0.0 μB/f.u. Its space-group type is No. 127.

=====

Here is an optimized crystal structure of Sr2SmPaN4 from Alexandria. Energies are from PBE.

Cell and atoms, written as extended XYZ:
```
8
Lattice="3.656 0.000 0.000 0.000 6.257 0.114 0.000 -2.182 6.002" Properties=species:S:1:pos:R:3 pbc="T T T"
N 0.000 -0.238 4.793
N 1.828 0.933 1.259
N 1.828 3.143 4.857
N 0.000 4.313 1.322
Sr 0.000 2.038 3.058
Sr 1.828 -1.091 3.001
Pa 0.000 0.000 0.000
Sm 1.828 3.129 0.057
```

Values from the calculation:
As for the crystal system: monoclinic. The total magnetization comes out at 0.0 μB/f.u. Its space-group type is No. 10. The uncorrected formation energy is -1.3197 eV/atom.

=====

Here is an optimized crystal structure of Ce2ThSe5 from Alexandria. Energies are from PBE.

Cell and atoms, written as extended XYZ:
```
32
Lattice="-0.655 4.530 -6.465 -4.595 -6.138 -3.835 -10.587 5.046 4.609" Properties=species:S:1:pos:R:3 pbc="T T T"
Se -9.078 1.196 -1.497
Se -3.673 -2.101 -2.697
Se -9.567 3.327 1.347
Se -8.851 4.968 -2.137
Se -5.549 -4.608 -4.263
Se -14.370 2.874 -1.757
Se -6.759 2.241 -4.193
Se -6.986 -1.531 -3.553
Se -10.288 8.046 -1.428
Se -6.484 1.171 1.103
Se -6.270 0.111 -7.038
Se -9.353 2.266 -6.794
Se -4.337 1.245 -1.587
Se -11.500 2.193 -4.104
Se -4.882 4.748 -2.627
Se -12.176 0.280 -0.233
Se -10.955 -1.311 -3.064
Se -3.661 3.157 -5.458
Se -1.468 0.563 -3.934
Se -12.164 5.539 -2.994
Ce -4.530 0.187 -4.457
Ce -5.712 -1.355 -0.565
Ce -3.417 1.711 1.351
Ce -9.011 6.318 0.682
Ce -6.826 -2.880 -6.373
Ce -12.421 1.726 -7.042
Ce -11.307 3.251 -1.234
Ce -10.125 4.793 -5.126
Th -6.812 2.940 -1.334
Th -1.295 -1.131 -1.429
Th -9.025 0.498 -4.356
Th -14.543 4.569 -4.262
```

Values from the calculation:
As for the crystal system: orthorhombic. The total magnetization comes out at 2.0 μB/f.u. Its space-group type is No. 62. The uncorrected formation energy is -1.8095 eV/atom.